# Sr3Ca2Cd3 (GGA-PBE, relaxed)
data_Sr3Ca2Cd3
_chemical_formula_sum 'Sr6 Ca4 Cd6'
_cell_length_a 4.0024
_cell_length_b 5.9367
_cell_length_c 24.0444
_cell_angle_alpha 90.00
_cell_angle_beta 90.00
_cell_angle_gamma 90.00
_space_group_name_H-M_alt 'I m m m'
_space_group_IT_number 71
_space_group_name_Hall '-I 2 2'
loop_
_atom_site_label
_atom_site_fract_x
_atom_site_fract_y
_atom_site_fract_z
Sr1 0.0000 0.0000 0.0000
Sr2 0.0000 0.5000 0.1185
Ca1 0.0000 0.0000 0.2278
Cd1 0.0000 0.0000 0.5000
Cd2 0.0000 0.5000 0.3798
# * total magnetic moment: 0.00 μB per formula unit
# * ΔE_f: -244.1 meV per atom

***

# Sr2Ca5Cd2 (GGA-PBE, relaxed)
data_Sr2Ca5Cd2
_chemical_formula_sum 'Sr8 Ca20 Cd8'
_cell_length_a 21.7575
_cell_length_b 8.1997
_cell_length_c 8.1912
_cell_angle_alpha 90.00
_cell_angle_beta 90.00
_cell_angle_gamma 90.00
_space_group_name_H-M_alt 'C m c e'
_space_group_IT_number 64
_space_group_name_Hall '-C 2ac 2'
loop_
_atom_site_label
_atom_site_fract_x
_atom_site_fract_y
_atom_site_fract_z
Sr1 0.2329 0.0000 0.0000
Ca1 0.0000 0.0000 0.0000
Ca2 0.1062 0.1769 0.3230
Cd1 0.0000 0.1252 0.6254
# * total magnetic moment: 0.00 μB per formula unit
# * ΔE_f: -109.9 meV per atom

***

# Sr2CaCd (GGA-PBE, relaxed)
data_Sr2CaCd
_chemical_formula_sum 'Sr6 Ca3 Cd3'
_cell_length_a 4.1566
_cell_length_b 4.1566
_cell_length_c 35.0603
_cell_angle_alpha 90.00
_cell_angle_beta 90.00
_cell_angle_gamma 120.00
_space_group_name_H-M_alt 'R -3 m'
_space_group_IT_number 166
_space_group_name_Hall '-R 3 2"'
loop_
_atom_site_label
_atom_site_fract_x
_atom_site_fract_y
_atom_site_fract_z
Sr1 0.0000 0.0000 0.2371
Ca1 0.0000 0.0000 0.0000
Cd1 0.0000 0.0000 0.5000
# * total magnetic moment: 0.00 μB per formula unit
# * ΔE_f: -52.3 meV per atom

***

# Sr7CaCd4 (GGA-PBE, relaxed)
data_Sr7CaCd4
_chemical_formula_sum 'Sr14 Ca2 Cd8'
_cell_length_a 15.7534
_cell_length_b 6.3873
_cell_length_c 11.5408
_cell_angle_alpha 90.00
_cell_angle_beta 124.05
_cell_angle_gamma 90.00
_space_group_name_H-M_alt 'C 1 2/m 1'
_space_group_IT_number 12
loop_
_space_group_symop_operation_xyz
'x,y,z'
'-x,-y,-z'
'-x,y,-z'
'x,-y,z'
'x+1/2,y+1/2,z'
'-x+1/2,-y+1/2,-z'
'-x+1/2,y+1/2,-z'
'x+1/2,-y+1/2,z'
loop_
_atom_site_label
_atom_site_fract_x
_atom_site_fract_y
_atom_site_fract_z
Sr1 0.0000 0.0000 0.0000
Sr2 0.0702 0.5000 0.3851
Sr3 0.1948 0.0000 0.6438
Sr4 0.2191 0.5000 0.8876
Ca1 0.0000 0.5000 0.0000
Cd1 0.0440 0.0000 0.7584
Cd2 0.1844 0.0000 0.3340
# * total magnetic moment: 0.00 μB per formula unit
# * ΔE_f: -81.5 meV per atom

***

# SrCa2Cd (GGA-PBE, relaxed)
data_SrCa2Cd
_chemical_formula_sum 'Sr1 Ca2 Cd1'
_cell_length_a 4.8467
_cell_length_b 5.4123
_cell_length_c 5.6205
_cell_angle_alpha 90.00
_cell_angle_beta 90.00
_cell_angle_gamma 90.00
_space_group_name_H-M_alt 'P m m m'
_space_group_IT_number 47
loop_
_space_group_symop_operation_xyz
'x,y,z'
'-x,-y,-z'
'-x,-y,z'
'x,y,-z'
'x,-y,-z'
'-x,y,z'
'-x,y,-z'
'x,-y,z'
loop_
_atom_site_label
_atom_site_fract_x
_atom_site_fract_y
_atom_site_fract_z
Sr1 0.0000 0.0000 0.0000
Ca1 0.0000 0.5000 0.5000
Ca2 0.5000 0.0000 0.5000
Cd1 0.5000 0.5000 0.0000
# * total magnetic moment: 0.00 μB per formula unit
# * ΔE_f: -89.7 meV per atom

***

# Sr2CaCd (GGA-PBE, relaxed)
data_Sr2CaCd
_chemical_formula_sum 'Sr4 Ca2 Cd2'
_cell_length_a 4.4153
_cell_length_b 6.1821
_cell_length_c 12.0804
_cell_angle_alpha 90.00
_cell_angle_beta 90.00
_cell_angle_gamma 90.00
_space_group_name_H-M_alt 'I m m m'
_space_group_IT_number 71
_space_group_name_Hall '-I 2 2'
loop_
_atom_site_label
_atom_site_fract_x
_atom_site_fract_y
_atom_site_fract_z
Sr1 0.0000 0.0000 0.2136
Ca1 0.0000 0.5000 0.0000
Cd1 0.0000 0.5000 0.5000
# * total magnetic moment: 0.00 μB per formula unit
# * ΔE_f: -77.1 meV per atom

***

no.,total DFT energy (no corrections) (hartree per atom)
1,-0.0631
2,-0.0661
3,-0.0596
4,-0.0564
5,-0.0639
6,-0.0605